[1]
SmY2Ni: optimized geometry, PBE.

Structure (extended XYZ):
```
4
Lattice="-2.8184 1.9518 1.7141 -3.6430 -0.5858 -1.0376 -2.8740 -6.0123 6.4059" Properties=species:S:1:pos:R:3 pbc="T T T"
Sm -4.6640 -2.2896 3.5091
Y -2.7484 -4.8838 5.3275
Y -2.2810 -0.6871 1.3172
Ni -4.3098 0.8909 0.4699
```

Symmetry: R3m
Theoretical density, g/cm3: 5.63
Formation enthalpy at 0 K, eV per atom: -0.097
M_tot, μB per formula unit: 0.00
VASP energy, eV per atom: -5.954

[2]
Sm2YNi: optimized geometry, PBE.

Structure (extended XYZ):
```
4
Lattice="-0.3788 -2.6223 -2.3241 3.5019 -0.2025 -0.3424 0.3009 -5.8242 6.5225" Properties=species:S:1:pos:R:3 pbc="T T T"
Y 1.7120 -4.3245 1.9280
Ni 1.5615 -1.4124 -1.3332
Sm 0.2443 -4.7283 5.2952
Sm 0.0566 -1.0959 1.2273
```

Symmetry: P4/mmm
Theoretical density, g/cm3: 6.85
Formation enthalpy at 0 K, eV per atom: -0.095
M_tot, μB per formula unit: 0.00
VASP energy, eV per atom: -5.516

[3]
Sm3YNi8: optimized geometry, PBE.

Structure (extended XYZ):
```
12
Lattice="4.8971 0.0000 1.4783 2.2254 4.3623 1.4783 -0.0096 -0.0059 8.8821" Properties=species:S:1:pos:R:3 pbc="T T T"
Sm 2.6633 1.6311 8.8783
Sm 7.1212 4.3614 2.9611
Sm 3.5569 2.1785 5.9180
Y 6.2290 3.8150 5.9168
Ni 5.5578 1.9056 3.7109
Ni 4.2299 4.0855 8.1278
Ni 3.1114 1.9056 2.9724
Ni 6.6707 4.0855 8.8646
Ni 1.3324 0.8160 4.4366
Ni 4.8876 2.9934 10.3604
Ni 4.2232 4.0848 3.7109
Ni 5.5615 1.9113 8.1278
```

Symmetry: R3m
Theoretical density, g/cm3: 8.83
Formation enthalpy at 0 K, eV per atom: -0.376
M_tot, μB per formula unit: 0.00
VASP energy, eV per atom: -5.948

[4]
SmYNi3: optimized geometry, PBE.

Structure (extended XYZ):
```
10
Lattice="-2.9873 -2.6212 -0.4969 2.2981 -2.1854 -2.2877 2.6553 -5.0862 10.8678" Properties=species:S:1:pos:R:3 pbc="T T T"
Sm -0.2054 -1.5346 1.2596
Sm 2.1715 -8.3581 6.8236
Y 2.6578 -5.4114 4.4972
Y -0.6917 -4.4813 3.5859
Ni 2.1441 -5.3506 7.2650
Ni -0.1780 -4.5421 0.8182
Ni 2.8717 -6.5323 9.1247
Ni -0.9056 -3.3604 -1.0416
Ni 0.2420 -5.9979 5.9726
Ni 1.7240 -3.8949 2.1106
```

Symmetry: Cmcm
Theoretical density, g/cm3: 7.26
Formation enthalpy at 0 K, eV per atom: -0.383
M_tot, μB per formula unit: 0.00
VASP energy, eV per atom: -6.089

[5]
SmY3Ni: optimized geometry, PBE.

Structure (extended XYZ):
```
10
Lattice="-2.9704 -2.1034 -0.2211 4.4662 -3.5466 3.8075 -3.8745 4.3964 10.2272" Properties=species:S:1:pos:R:3 pbc="T T T"
Sm -3.0037 -0.1377 11.5938
Sm 0.6250 -1.1160 2.2198
Y -1.1678 1.2295 3.9929
Y -1.2109 -2.4831 9.8207
Y 2.0201 -3.3365 4.6018
Y -4.3988 2.0829 9.2118
Y -1.1111 0.7089 8.1826
Y -1.2676 -1.9625 5.6309
Ni -2.9664 0.3887 6.0853
Ni 0.5877 -1.6423 7.7283
```

Symmetry: C2/m
Theoretical density, g/cm3: 5.58
Formation enthalpy at 0 K, eV per atom: -0.150
M_tot, μB per formula unit: 0.00
VASP energy, eV per atom: -6.129

[6]
SmY2Ni: optimized geometry, PBE.

Structure (extended XYZ):
```
4
Lattice="3.5913 0.0000 0.0000 1.7956 3.1101 0.0000 1.7956 1.0367 10.5003" Properties=species:S:1:pos:R:3 pbc="T T T"
Y 1.7956 1.0367 6.9969
Y 5.3869 3.1101 3.5034
Ni 3.5913 2.0734 5.2502
Sm 0.0000 0.0000 0.0000
```

Symmetry: R-3m
Theoretical density, g/cm3: 5.48
Formation enthalpy at 0 K, eV per atom: 0.084
M_tot, μB per formula unit: 0.00
VASP energy, eV per atom: -5.773

[7]
SmY2Ni9: optimized geometry, PBE.

Structure (extended XYZ):
```
12
Lattice="-1.7255 2.7307 3.8118 -4.7547 1.5349 0.0226 -4.3369 -5.3786 5.1644" Properties=species:S:1:pos:R:3 pbc="T T T"
Sm 0.0000 0.0000 0.0000
Y -7.3901 1.4230 5.4588
Y -3.4270 -2.5361 3.5400
Ni -8.6546 -2.5272 7.7163
Ni -2.1626 1.4141 1.2826
Ni -5.4086 -0.5565 4.4994
Ni -3.7751 0.4543 2.8746
Ni -4.6394 1.8221 4.7838
Ni -6.1567 1.2231 2.8859
Ni -7.0421 -1.5674 6.1243
Ni -4.6605 -2.3362 6.1129
Ni -6.1778 -2.9351 4.2150
```

Symmetry: R-3m
Theoretical density, g/cm3: 8.09
Formation enthalpy at 0 K, eV per atom: -0.383
M_tot, μB per formula unit: 0.83
VASP energy, eV per atom: -6.190

[8]
Sm12YNi6: optimized geometry, PBE.

Structure (extended XYZ):
```
19
Lattice="8.1997 0.0000 -2.8990 -4.0999 7.1012 -2.8990 0.0000 0.0000 8.6971" Properties=species:S:1:pos:R:3 pbc="T T T"
Sm 2.0362 0.9011 5.8174
Sm 0.5202 3.5269 -0.7357
Sm 3.5796 3.5743 3.6348
Sm 2.0636 6.2001 -2.9184
Sm -2.3014 5.7883 -0.0194
Sm 3.3145 1.3129 0.7357
Sm 0.7854 5.7883 2.1633
Sm 6.4012 1.3129 2.9184
Sm 5.4055 2.2140 -2.1633
Sm 0.2377 2.2140 2.8797
Sm 3.8621 4.8872 0.0194
Sm -1.3056 4.8872 5.0623
Y 0.0000 0.0000 0.0000
Ni 1.0529 3.5506 5.0931
Ni 3.0470 3.5506 -2.1940
Ni 0.4985 6.2377 -0.7050
Ni 3.6013 0.8635 3.6041
Ni 5.6513 2.6871 0.7050
Ni -1.5514 4.4140 2.1940
```

Symmetry: Im-3
Theoretical density, g/cm3: 7.36
Formation enthalpy at 0 K, eV per atom: -0.193
M_tot, μB per formula unit: 0.00
VASP energy, eV per atom: -5.340

[9]
SmY12Ni6: optimized geometry, PBE.

Structure (extended XYZ):
```
19
Lattice="-3.5700 -7.5380 -1.9824 8.3278 -1.1379 1.6880 -3.8921 3.2790 6.8990" Properties=species:S:1:pos:R:3 pbc="T T T"
Sm 0.0000 0.0000 0.0000
Y -3.2298 0.1872 5.2259
Y 2.2962 -2.3032 1.4900
Y -1.4306 -3.0938 5.1146
Y 4.0955 -5.5841 1.3787
Y 5.1314 -0.8642 3.2709
Y -1.4438 -2.9221 1.4744
Y 2.3095 -2.4748 5.1301
Y -4.2657 -4.5327 3.3337
Y -0.8165 -6.0879 -0.2181
Y 0.0048 -0.1187 3.5754
Y 0.8609 -5.2782 3.0292
Y 1.6822 0.6910 6.8226
Ni -0.5965 -0.5357 6.1477
Ni 1.4621 -4.8612 0.4568
Ni 4.0518 -3.5305 3.0913
Ni -3.1861 -1.8664 3.5133
Ni -1.9367 -5.4016 2.3473
Ni 2.8024 0.0046 4.2573
```

Symmetry: Im-3
Theoretical density, g/cm3: 5.37
Formation enthalpy at 0 K, eV per atom: -0.231
M_tot, μB per formula unit: 0.00
VASP energy, eV per atom: -6.387

[10]
Sm2Y5Ni2: optimized geometry, PBE.

Structure (extended XYZ):
```
18
Lattice="-3.0170 -5.5587 3.0507 5.9970 -1.4369 3.3126 -4.4033 3.0574 9.2979" Properties=species:S:1:pos:R:3 pbc="T T T"
Sm -3.0621 0.3530 5.6966
Sm -1.5720 -3.1448 8.8782
Sm -4.3583 -2.8543 6.6520
Sm 0.1487 -0.7934 6.7829
Y 0.0000 0.0000 0.0000
Y 1.4900 -3.4978 3.1816
Y -3.7058 -0.2523 9.1762
Y -0.8666 -3.1574 12.4152
Y -0.2674 -0.1602 10.3876
Y -4.3050 -3.2495 11.2037
Y 2.2825 -3.6859 6.4850
Y -0.5567 -0.7808 3.2459
Y -1.1560 -3.7780 5.2735
Y 2.8817 -0.6887 4.4574
Ni 1.9235 -1.2104 1.6254
Ni 1.0565 -5.7852 4.7379
Ni 4.1335 -3.3817 4.0790
Ni -1.1535 -3.6140 2.2843
```

Symmetry: Cmce
Theoretical density, g/cm3: 5.75
Formation enthalpy at 0 K, eV per atom: -0.129
M_tot, μB per formula unit: 0.00
VASP energy, eV per atom: -6.053

[11]
SmY2Ni: optimized geometry, PBE.

Structure (extended XYZ):
```
16
Lattice="-2.8014 1.0565 -5.6875 -1.0472 -6.7964 -0.7468 -8.5856 0.8410 4.3851" Properties=species:S:1:pos:R:3 pbc="T T T"
Sm -4.5022 -2.7365 -2.9509
Sm -4.5861 0.8908 -3.8109
Sm -7.9320 -2.1624 0.9018
Sm -7.8481 -5.7897 1.7617
Y -1.7806 -4.3462 -1.2235
Y -4.8039 -0.4879 -0.0631
Y -7.5099 -0.8607 -2.4313
Y -10.7739 -4.1030 -0.3804
Y -10.6536 -0.5527 -0.8257
Y -7.6302 -4.4109 -1.9860
Y -4.9243 -4.0382 0.3822
Y -1.6602 -0.7959 -1.6688
Ni -2.7123 -2.3652 0.4822
Ni -4.3170 -5.3557 -2.0860
Ni -9.7218 -2.5337 -2.5314
Ni -8.1172 0.4568 0.0369
```

Symmetry: Pnma
Theoretical density, g/cm3: 5.97
Formation enthalpy at 0 K, eV per atom: -0.224
M_tot, μB per formula unit: 0.00
VASP energy, eV per atom: -6.081

[12]
Sm3Y2Ni4: optimized geometry, PBE.

Structure (extended XYZ):
```
18
Lattice="7.6952 0.1961 0.0000 -2.3308 7.0646 0.0000 0.0000 0.0000 7.3071" Properties=species:S:1:pos:R:3 pbc="T T T"
Sm -1.1654 3.5323 3.6535
Sm 2.6822 3.6303 0.0000
Sm 5.2463 1.7988 6.0688
Sm 3.9656 5.5600 2.4152
Sm 0.1180 5.4619 1.2383
Sm 1.3987 1.7007 4.8918
Y 4.1450 1.5322 2.3431
Y 5.0670 5.8265 5.9966
Y 1.2194 5.7285 4.9640
Y 0.2974 1.4342 1.3105
Ni 6.6002 0.7987 3.8512
Ni 2.6117 6.5601 0.1977
Ni -1.2359 6.4620 3.4558
Ni 2.7526 0.7006 7.1094
Ni 5.6522 3.6993 0.8487
Ni 3.5598 3.6595 4.5023
Ni -0.2878 3.5614 6.4583
Ni 1.8046 3.6012 2.8048
```

Symmetry: P2_1/c
Theoretical density, g/cm3: 7.16
Formation enthalpy at 0 K, eV per atom: -0.311
M_tot, μB per formula unit: 0.00
VASP energy, eV per atom: -5.890

[13]
SmZnNi5: optimized geometry, PBE.

Structure (extended XYZ):
```
28
Lattice="4.8465 0.0000 0.0000 0.0000 7.9488 0.0000 0.0000 0.0000 10.0502" Properties=species:S:1:pos:R:3 pbc="T T T"
Sm 1.2116 1.9359 9.4575
Sm 3.6349 2.0385 4.4324
Sm 1.2116 5.9103 5.6177
Sm 3.6349 6.0128 0.5926
Zn 1.2116 6.8204 8.6265
Zn 3.6349 5.1027 3.6014
Zn 1.2116 2.8461 6.4488
Zn 3.6349 1.1283 1.4237
Ni 1.2116 4.7232 0.1746
Ni 3.6349 7.1999 5.1997
Ni 1.2116 0.7489 4.8505
Ni 3.6349 3.2255 9.8756
Ni 3.6349 2.4985 7.5385
Ni 1.2116 1.4759 2.5134
Ni 3.6349 6.4729 7.5368
Ni 1.2116 5.4502 2.5117
Ni 1.2116 7.5207 1.0047
Ni 3.6349 4.4024 6.0298
Ni 1.2116 3.5464 4.0204
Ni 3.6349 0.4280 9.0455
Ni 4.8291 3.4445 1.9229
Ni 0.0174 0.5299 6.9480
Ni 2.4406 7.4188 3.1022
Ni 2.4058 4.5043 8.1273
Ni 0.0174 4.5043 8.1273
Ni 4.8291 7.4188 3.1022
Ni 2.4058 0.5299 6.9480
Ni 2.4406 3.4445 1.9229
```

Symmetry: Pnma
Theoretical density, g/cm3: 8.74
Formation enthalpy at 0 K, eV per atom: -0.280
M_tot, μB per formula unit: 0.54
VASP energy, eV per atom: -5.266

[14]
Sm11Zn9Ni4: optimized geometry, PBE.

Structure (extended XYZ):
```
24
Lattice="-2.6680 -1.6197 -1.8441 7.4702 -10.0300 -1.9980 -6.7756 -0.9711 10.6558" Properties=species:S:1:pos:R:3 pbc="T T T"
Sm -1.9063 -6.7836 8.7163
Sm 2.6009 -4.2175 -0.0585
Sm 2.9582 -9.8770 4.3955
Sm -2.2636 -1.1242 4.2624
Sm 2.1554 -6.6503 2.7229
Sm -1.4608 -4.3508 5.9349
Sm 5.0850 -8.5133 0.1207
Sm -4.3904 -2.4879 8.5371
Sm 0.0000 0.0000 0.0000
Sm 0.4840 -7.6658 6.0329
Sm 0.2106 -3.3353 2.6249
Zn 2.2620 -7.3101 -0.4153
Zn -4.2354 -5.3107 7.2290
Zn -4.3757 -3.0892 5.4806
Zn 2.4023 -9.5317 1.3331
Zn -1.7462 -9.5617 7.3615
Zn -0.2272 -3.0591 -0.5477
Zn 0.2641 -10.8401 5.5758
Zn -2.2375 -1.7808 1.2379
Zn -0.9867 -6.3104 3.4069
Ni -2.3113 -7.0779 5.9973
Ni 0.3379 -5.5430 0.8164
Ni 0.5497 -8.8971 3.4561
Ni -2.5230 -3.7237 3.3576
```

Symmetry: Cmmm
Theoretical density, g/cm3: 7.67
Formation enthalpy at 0 K, eV per atom: -0.349
M_tot, μB per formula unit: 0.00
VASP energy, eV per atom: -3.953

[15]
SmZnNi2: optimized geometry, PBE.

Structure (extended XYZ):
```
8
Lattice="-3.6356 0.4997 2.0045 1.5567 -3.8372 -0.5816 4.4410 0.6037 7.9041" Properties=species:S:1:pos:R:3 pbc="T T T"
Sm 0.9362 -2.2406 2.2565
Sm 1.4259 -0.4932 7.0705
Zn 0.0000 0.0000 0.0000
Zn 2.2205 0.3018 3.9520
Ni -1.6548 -0.9119 1.5875
Ni 2.2965 -2.0557 4.6775
Ni 0.0656 -0.6781 4.6495
Ni 4.0168 -1.8219 7.7395
```

Symmetry: P6_3/mmc
Theoretical density, g/cm3: 8.04
Formation enthalpy at 0 K, eV per atom: -0.374
M_tot, μB per formula unit: 0.00
VASP energy, eV per atom: -4.763

[16]
Sm3Zn7Ni4: optimized geometry, PBE.

Structure (extended XYZ):
```
14
Lattice="4.0794 0.0000 1.0291 1.5074 7.1561 2.6245 0.0873 0.0572 8.2538" Properties=species:S:1:pos:R:3 pbc="T T T"
Sm 1.5424 1.3676 2.4859
Sm 4.1318 5.8457 9.4215
Sm 0.7974 3.6067 5.4392
Zn 2.6218 5.9861 6.8070
Zn 2.4189 1.6249 7.6113
Zn 4.1338 2.7419 9.4135
Zn 3.0524 1.2272 5.1004
Zn 1.5404 4.4714 2.4939
Zn 0.0000 0.0000 0.0000
Zn 3.2553 5.5884 4.2961
Ni 3.4284 3.2352 3.6100
Ni 2.2459 3.9781 8.2974
Ni 5.0016 6.4588 5.9736
Ni 0.6726 0.7545 5.9338
```

Symmetry: C2/m
Theoretical density, g/cm3: 7.92
Formation enthalpy at 0 K, eV per atom: -0.356
M_tot, μB per formula unit: 0.00
VASP energy, eV per atom: -3.656

[17]
Sm12ZnNi5: optimized geometry, PBE.

Structure (extended XYZ):
```
18
Lattice="-5.4378 6.0147 -2.4085 -4.3332 -6.7192 2.7611 4.9610 2.5717 6.3500" Properties=species:S:1:pos:R:3 pbc="T T T"
Sm -2.9190 -0.5368 5.4780
Sm -1.8911 2.4040 1.2246
Sm -2.0869 5.9300 2.8432
Sm -2.7231 -4.0628 3.8594
Sm -4.8691 0.6051 2.5430
Sm 0.0591 1.2622 4.1595
Sm 0.2788 -0.1892 7.3479
Sm -5.0888 2.0564 -0.6454
Sm -3.1014 2.8912 4.6785
Sm -1.7086 -1.0240 2.0241
Sm -1.3506 -3.3893 7.2201
Sm -3.4594 5.2565 -0.5175
Zn 0.3139 -2.0737 4.5555
Ni -6.2166 -0.4482 0.2243
Ni -3.5544 -0.2563 0.1282
Ni -0.1601 3.7757 3.1076
Ni -4.6499 -1.9085 3.5949
Ni 0.0000 0.0000 0.0000
```

Symmetry: Immm
Theoretical density, g/cm3: 7.72
Formation enthalpy at 0 K, eV per atom: -0.234
M_tot, μB per formula unit: 0.00
VASP energy, eV per atom: -5.057

[18]
Sm2Zn15Ni2: optimized geometry, PBE.

Structure (extended XYZ):
```
19
Lattice="-1.8133 6.3893 1.2800 -5.2088 -1.3615 4.0943 3.2849 0.6930 5.8718" Properties=species:S:1:pos:R:3 pbc="T T T"
Sm -1.2464 1.9080 3.7508
Sm -2.4908 3.8127 7.4953
Zn -0.9067 3.1946 0.6400
Zn 1.6425 0.3465 2.9359
Zn -2.6044 -0.6808 2.0472
Zn -2.8081 -0.7808 4.5967
Zn -2.7730 4.1985 2.0754
Zn 1.8439 2.3030 4.5739
Zn -4.2491 0.8292 3.2988
Zn -0.3723 4.7792 2.5779
Zn 0.8842 0.1123 5.3694
Zn -1.5282 0.5307 6.6892
Zn -4.0799 3.3818 4.3910
Zn 0.1712 4.4100 5.2807
Zn -2.2090 5.1900 4.5569
Zn 0.3427 2.3389 6.8551
Zn -3.9085 1.3107 5.9654
Ni -0.3791 0.5803 1.1409
Ni -3.3581 5.1404 10.1052
```

Symmetry: R-3m
Theoretical density, g/cm3: 7.69
Formation enthalpy at 0 K, eV per atom: -0.240
M_tot, μB per formula unit: 0.00
VASP energy, eV per atom: -2.351

[19]
SmZn4Ni: optimized geometry, PBE.

Structure (extended XYZ):
```
12
Lattice="-0.3108 -1.0632 3.8192 6.0856 -2.9193 -0.3175 3.2852 6.6188 2.1099" Properties=species:S:1:pos:R:3 pbc="T T T"
Sm 6.1685 3.1870 1.3892
Sm 3.2023 0.5125 0.4033
Zn 1.6426 3.3094 1.0550
Zn 0.0000 0.0000 0.0000
Zn 8.1382 1.6360 3.1879
Zn 0.9218 1.0004 2.4237
Zn 4.2980 -2.1969 1.8084
Zn 4.7620 4.8332 3.8032
Zn 5.5630 0.3516 2.6208
Zn 3.4970 2.2847 2.9908
Ni 3.7244 4.3595 1.5167
Ni 5.6464 -0.6599 0.2758
```

Symmetry: Pmma
Theoretical density, g/cm3: 7.57
Formation enthalpy at 0 K, eV per atom: -0.308
M_tot, μB per formula unit: 0.00
VASP energy, eV per atom: -2.907